Entry 1:
! Sn3N, relaxed, DFT PBE-GGA; values from VASP
! Formation energy (no corrections) in eV per atom: 1.008
! ρ in g/cm³: 7.0
! Magnetic moment in μB/f.u.: 0.0
! E_tot in eV for the cell shown: -32.60
! SG: No. 194
&SYSTEM
  ibrav = 0, nat = 8, ntyp = 2
/
ATOMIC_SPECIES
Sn 118.71 Sn.upf
N 14.01 N.upf
CELL_PARAMETERS angstrom
4.5006 2.7370 -3.1865
-5.2708 2.9941 1.0743
2.0227 1.9384 4.5218
ATOMIC_POSITIONS crystal
Sn 0.1715 0.3431 0.2500
Sn 0.6569 0.8285 0.2500
Sn 0.1715 0.8285 0.2500
Sn 0.8285 0.6569 0.7500
Sn 0.3431 0.1715 0.7500
Sn 0.8285 0.1715 0.7500
N 0.3333 0.6667 0.7500
N 0.6667 0.3333 0.2500

---

Entry 2:
! SrSn2N, relaxed, DFT PBE-GGA; values from VASP
! Formation energy (no corrections) in eV per atom: 0.121
! ρ in g/cm³: 5.9
! Magnetic moment in μB/f.u.: 0.0
! E_tot in eV for the cell shown: -35.06
! SG: No. 122
&SYSTEM
  ibrav = 0, nat = 8, ntyp = 3
/
ATOMIC_SPECIES
Sr 87.62 Sr.upf
Sn 118.71 Sn.upf
N 14.01 N.upf
CELL_PARAMETERS angstrom
8.0395 0.0000 0.0000
0.0000 8.0395 0.0000
4.0197 4.0197 2.9634
ATOMIC_POSITIONS crystal
Sr 0.0000 0.0000 0.0000
Sr 0.7500 0.2500 0.5000
Sn 0.5284 0.1250 0.2500
Sn 0.2216 0.6250 0.2500
Sn 0.3750 0.4716 0.7500
Sn 0.8750 0.7784 0.7500
N 0.5000 0.5000 0.0000
N 0.2500 0.7500 0.5000

---

Entry 3:
! Sr8SnN2, relaxed, DFT PBE-GGA; values from VASP
! Formation energy (no corrections) in eV per atom: -0.032
! ρ in g/cm³: 3.9
! Magnetic moment in μB/f.u.: 0.0
! E_tot in eV for the cell shown: -34.46
! SG: No. 123
&SYSTEM
  ibrav = 0, nat = 11, ntyp = 3
/
ATOMIC_SPECIES
Sr 87.62 Sr.upf
Sn 118.71 Sn.upf
N 14.01 N.upf
CELL_PARAMETERS angstrom
-3.5715 -5.3892 -2.6716
5.0879 -4.3640 2.0015
-3.3743 -0.9688 6.4652
ATOMIC_POSITIONS crystal
Sr 0.7537 0.7537 0.2140
Sr 0.7537 0.2463 0.7860
Sr 0.7537 0.7537 0.7860
Sr 0.7537 0.2463 0.2140
Sr 0.2463 0.7537 0.2140
Sr 0.2463 0.7537 0.7860
Sr 0.2463 0.2463 0.2140
Sr 0.2463 0.2463 0.7860
Sn 0.5000 0.5000 0.5000
N 0.5000 0.0000 0.0000
N 0.0000 0.5000 0.0000